The following is a DFT calculation (GGA-PBE) of CeURu after structural relaxation.

a = 3.489 Å, b = 3.489 Å, c = 10.035 Å
α = 90.00°, β = 90.00°, γ = 90.00°
Space group I4mm (No. 107)
One atom of each set of equivalent atoms:
Ce 0.000 0.000 0.000 [2 per cell]
U 0.000 0.000 0.328 [2 per cell]
Ru 0.000 0.000 0.688 [2 per cell]

Calculated formation energy, eV per atom: -0.12
ρ, g/cm3: 13.028
Energy above the lowest structure with this stoichiometry, meV/atom: 2